## i
Computed, not measured: a geometry-optimized YCoP2 structure at the PBE level of DFT.

a = 3.746 Å, b = 5.662 Å, c = 6.451 Å
α = 90.00°, β = 90.00°, γ = 90.00°
Space group Immm (No. 71)
Unique sites:
Y 0.000 0.000 0.000 (multiplicity 2)
Co 0.000 0.000 0.500 (multiplicity 2)
P 0.000 0.500 0.182 (multiplicity 4)

=====

## ii
Computed, not measured: a geometry-optimized YCoP2 structure at the PBE level of DFT.

a = 3.403 Å, b = 3.459 Å, c = 11.204 Å
α = 90.00°, β = 90.00°, γ = 90.00°
Space group Imm2 (No. 44)
Unique sites:
Y 0.000 0.000 0.000 (multiplicity 2)
Co 0.000 0.500 0.245 (multiplicity 2)
P 0.000 0.000 0.617 (multiplicity 2)
P 0.000 0.500 0.801 (multiplicity 2)

=====

## iii
Computed, not measured: a geometry-optimized YCoP2 structure at the PBE level of DFT.

a = 5.944 Å, b = 6.099 Å, c = 3.604 Å
α = 90.00°, β = 90.14°, γ = 90.00°
Space group C2/m (No. 12)
Unique sites:
Y 0.000 0.000 0.000 (multiplicity 2)
Co 0.000 0.500 0.000 (multiplicity 2)
P 0.250 0.250 0.500 (multiplicity 4)

=====

## iv
Computed, not measured: a geometry-optimized YCoP2 structure at the PBE level of DFT.

a = 3.860 Å, b = 5.897 Å, c = 6.159 Å
α = 90.00°, β = 90.00°, γ = 90.00°
Space group Cmmm (No. 65)
Unique sites:
Y 0.000 0.000 0.000 (multiplicity 2)
Co 0.000 0.000 0.500 (multiplicity 2)
P 0.000 0.500 0.311 (multiplicity 4)

=====

Quick one: least stable of them? iii

=====

## i
Computed, not measured: a geometry-optimized YCoP2 structure at the PBE level of DFT.

a = 4.152 Å, b = 4.075 Å, c = 4.172 Å
α = 90.00°, β = 92.57°, γ = 90.00°
Space group Pm (No. 6)
Unique sites:
Y 0.000 0.000 0.000 (multiplicity 1)
Co 0.391 0.500 0.657 (multiplicity 1)
P 0.521 0.500 0.151 (multiplicity 1)
P 0.523 0.000 0.492 (multiplicity 1)

=====

## ii
Computed, not measured: a geometry-optimized YCoP2 structure at the PBE level of DFT.

a = 3.800 Å, b = 3.800 Å, c = 9.193 Å
α = 90.00°, β = 90.00°, γ = 90.00°
Space group I-4m2 (No. 119)
Unique sites:
Y 0.000 0.000 0.000 (multiplicity 2)
Co 0.000 0.500 0.750 (multiplicity 2)
P 0.000 0.000 0.370 (multiplicity 4)

=====

Quick one: least stable of them? i

=====

## i
Computed, not measured: a geometry-optimized YCoP2 structure at the PBE level of DFT.

a = 3.776 Å, b = 3.771 Å, c = 5.318 Å
α = 90.00°, β = 90.22°, γ = 90.00°
Space group P2/m (No. 10)
Unique sites:
Y 0.000 0.000 0.000 (multiplicity 1)
Co 0.500 0.500 0.500 (multiplicity 1)
P 0.000 0.000 0.500 (multiplicity 1)
P 0.500 0.500 0.000 (multiplicity 1)

=====

## ii
Computed, not measured: a geometry-optimized YCoP2 structure at the PBE level of DFT.

a = 6.433 Å, b = 6.433 Å, c = 6.433 Å
α = 90.00°, β = 90.00°, γ = 90.00°
Space group Fm-3m (No. 225)
Unique sites:
Y 0.000 0.000 0.000 (multiplicity 4)
Co 0.000 0.000 0.500 (multiplicity 4)
P 0.250 0.250 0.250 (multiplicity 8)

=====

Quick one: least stable of them? ii